Cs2Rb5Sb2 after structural relaxation, computed with PBE.

Cell: 14.3768 14.3768 6.6622 Å, 103.30 103.30 26.80°
Fractional positions:
Cs 0.2500 0.2500 0.2499
Cs 0.7500 0.7500 0.7501
Rb 0.0000 0.0000 0.5000
Rb 0.1016 0.1016 0.0984
Rb 0.3983 0.3983 0.4037
Rb 0.6017 0.6017 0.5963
Rb 0.8984 0.8984 0.9016
Sb 0.1543 0.1543 0.6511
Sb 0.8457 0.8457 0.3489

Output
* total magnetization: 0.00 μB/f.u.
* DOS(E_F): 4.22 states/eV/cell
* total energy: -17.12 eV for the cell shown
* uncorrected formation energy: -0.258 eV/atom

=====

ScWBr after structural relaxation, computed with PBE.

Cell: 8.0478 7.8872 3.0209 Å, 82.08 76.09 21.83°
Fractional positions:
Sc 0.0000 0.0000 0.0000
W 0.6366 0.6366 0.3634
Br 0.3714 0.3714 0.6286

Output
* total magnetization: 0.00 μB/f.u.
* DOS(E_F): 3.09 states/eV/cell
* ΔE to the lowest computed polymorph: 87 meV/atom
* total energy: -20.00 eV for the cell shown
* uncorrected formation energy: 0.319 eV/atom

=====

HoInHg after structural relaxation, computed with PBE.

Cell: 4.8545 4.8545 4.8545 Å, 60.00 60.00 60.00°
Fractional positions:
Ho 0.0000 0.0000 0.0000
In 0.5000 0.5000 0.5000
Hg 0.7500 0.7500 0.7500

Output
* total magnetization: 0.00 μB/f.u.
* DOS(E_F): 0.76 states/eV/cell
* total energy: -8.82 eV for the cell shown
* E_form: -0.3990 eV per atom

=====

LuZrAl2 after structural relaxation, computed with PBE.

Cell: 4.4777 4.4777 4.0941 Å, 90.00 90.00 90.00°
Fractional positions:
Lu 0.0000 0.0000 0.0000
Zr 0.5000 0.5000 0.0000
Al 0.0000 0.5000 0.5000
Al 0.5000 0.0000 0.5000

Output
* total magnetization: 0.00 μB/f.u.
* DOS(E_F): 3.33 states/eV/cell
* ΔE to the lowest computed polymorph: 0 meV/atom
* total energy: -21.98 eV for the cell shown
* E_form: -0.3555 eV per atom

=====

Y4Hg2SeS after structural relaxation, computed with PBE.

Cell: 6.8304 3.9318 7.9259 Å, 90.00 106.59 90.00°
Fractional positions:
Y 0.2324 0.0000 0.2184
Y 0.2521 0.5000 0.7765
Y 0.7479 0.5000 0.2235
Y 0.7676 0.0000 0.7816
Hg 0.0000 0.0000 0.5000
Hg 0.5000 0.5000 0.5000
Se 0.5000 0.0000 0.0000
S 0.0000 0.5000 0.0000

Output
* total magnetization: 0.00 μB/f.u.
* DOS(E_F): 3.65 states/eV/cell
* total energy: -43.45 eV for the cell shown
* uncorrected formation energy: -1.173 eV/atom

=====

VAsAu2 after structural relaxation, computed with PBE.

Cell: 5.9420 5.9420 5.9420 Å, 101.36 101.36 127.31°
Fractional positions:
V 0.0000 0.0000 0.0000
V 0.7500 0.2500 0.5000
As 0.2500 0.7500 0.5000
As 0.5000 0.5000 0.0000
Au 0.1392 0.6250 0.0142
Au 0.3750 0.3892 0.5142
Au 0.6108 0.1250 0.9858
Au 0.8750 0.8608 0.4858

Output
* total magnetization: 2.33 μB/f.u.
* DOS(E_F): 8.09 states/eV/cell
* total energy: -39.13 eV for the cell shown
* E_form: 0.1897 eV per atom

=====

Question: What is the total energy in the fifth record?
Answer: -43.45 eV for the cell shown

=====

Question: Among the records above, which one has the lowest total energy?
Answer: Y4Hg2SeS